1.
CuBi5PbS9, relaxed, DFT GGA-PBE; space-group type = Pnma (62)
1.0
11.697 0.000 0.000
0.000 4.031 0.000
0.000 0.000 33.486
S Cu Bi Pb
36 4 20 4
Direct
0.960 0.250 0.709 S
0.460 0.250 0.791 S
0.204 0.750 0.066 S
0.606 0.250 0.351 S
0.372 0.750 0.983 S
0.788 0.250 0.604 S
0.552 0.750 0.882 S
0.628 0.250 0.017 S
0.040 0.750 0.291 S
0.106 0.250 0.149 S
0.394 0.750 0.649 S
0.128 0.250 0.483 S
0.774 0.250 0.268 S
0.052 0.750 0.618 S
0.371 0.750 0.313 S
0.274 0.250 0.232 S
0.212 0.750 0.396 S
0.796 0.250 0.934 S
0.948 0.250 0.382 S
0.552 0.750 0.542 S
0.726 0.750 0.768 S
0.288 0.250 0.896 S
0.629 0.250 0.687 S
0.872 0.750 0.517 S
0.712 0.750 0.104 S
0.226 0.750 0.732 S
0.540 0.750 0.209 S
0.948 0.250 0.042 S
0.448 0.250 0.118 S
0.871 0.750 0.187 S
0.894 0.750 0.851 S
0.704 0.750 0.434 S
0.129 0.250 0.813 S
0.448 0.250 0.458 S
0.296 0.250 0.566 S
0.052 0.750 0.958 S
0.722 0.750 0.238 Cu
0.778 0.250 0.738 Cu
0.278 0.250 0.762 Cu
0.222 0.750 0.262 Cu
0.146 0.250 0.345 Bi
0.844 0.750 0.987 Bi
0.978 0.250 0.556 Bi
0.354 0.750 0.845 Bi
0.977 0.250 0.228 Bi
0.656 0.250 0.487 Bi
0.023 0.750 0.772 Bi
0.477 0.250 0.272 Bi
0.996 0.250 0.892 Bi
0.646 0.250 0.155 Bi
0.523 0.750 0.728 Bi
0.004 0.750 0.108 Bi
0.854 0.750 0.655 Bi
0.344 0.750 0.513 Bi
0.522 0.750 0.056 Bi
0.496 0.250 0.608 Bi
0.022 0.750 0.444 Bi
0.156 0.250 0.013 Bi
0.504 0.750 0.392 Bi
0.478 0.250 0.944 Bi
0.182 0.250 0.667 Pb
0.682 0.250 0.833 Pb
0.818 0.750 0.333 Pb
0.318 0.750 0.167 Pb

---

2.
CuBi3PbS6, relaxed, DFT GGA-PBE; space-group type = Pmc2_1 (26)
1.0
-0.648 -3.230 -2.329
4.782 -6.509 7.697
-10.436 -1.602 5.128
S Bi Pb Cu
12 6 2 2
Direct
0.500 0.448 0.193 S
0.000 0.311 0.789 S
0.500 0.108 0.363 S
0.500 0.552 0.693 S
0.000 0.945 0.122 S
0.000 0.378 0.459 S
0.500 0.892 0.863 S
0.000 0.689 0.289 S
0.000 0.622 0.959 S
0.500 0.799 0.529 S
0.500 0.201 0.029 S
0.000 0.055 0.622 S
0.500 0.435 0.894 Bi
0.500 0.787 0.063 Bi
0.000 0.078 0.926 Bi
0.500 0.213 0.563 Bi
0.000 0.922 0.426 Bi
0.500 0.565 0.394 Bi
0.000 0.253 0.234 Pb
0.000 0.747 0.734 Pb
0.000 0.461 0.639 Cu
0.000 0.539 0.139 Cu

---

3.
Cu2Bi4Pb2S9, relaxed, DFT GGA-PBE; space-group type = Pnma (62)
1.0
-10.634 1.205 4.892
0.674 -3.273 2.270
13.263 19.414 24.049
Bi Cu S Pb
16 8 36 8
Direct
0.480 0.750 0.892 Bi
0.511 0.250 0.438 Bi
0.516 0.250 0.776 Bi
0.349 0.250 0.320 Bi
0.011 0.250 0.062 Bi
0.484 0.750 0.224 Bi
0.020 0.250 0.392 Bi
0.520 0.250 0.108 Bi
0.980 0.750 0.608 Bi
0.984 0.750 0.276 Bi
0.849 0.250 0.180 Bi
0.151 0.750 0.820 Bi
0.489 0.750 0.562 Bi
0.016 0.250 0.724 Bi
0.989 0.750 0.938 Bi
0.651 0.750 0.680 Bi
0.770 0.750 0.097 Cu
0.730 0.250 0.597 Cu
0.765 0.750 0.431 Cu
0.735 0.250 0.931 Cu
0.235 0.250 0.569 Cu
0.230 0.250 0.903 Cu
0.265 0.750 0.069 Cu
0.270 0.750 0.403 Cu
0.953 0.750 0.451 S
0.372 0.250 0.851 S
0.712 0.250 0.400 S
0.788 0.750 0.900 S
0.791 0.750 0.232 S
0.451 0.750 0.714 S
0.381 0.250 0.183 S
0.780 0.750 0.567 S
0.628 0.750 0.149 S
0.220 0.250 0.433 S
0.047 0.250 0.549 S
0.209 0.250 0.768 S
0.212 0.250 0.100 S
0.288 0.750 0.600 S
0.720 0.250 0.067 S
0.881 0.250 0.317 S
0.549 0.250 0.286 S
0.385 0.250 0.520 S
0.119 0.750 0.683 S
0.280 0.750 0.933 S
0.452 0.750 0.376 S
0.547 0.250 0.951 S
0.885 0.250 0.980 S
0.709 0.250 0.732 S
0.128 0.750 0.351 S
0.951 0.750 0.786 S
0.548 0.250 0.624 S
0.453 0.750 0.049 S
0.048 0.250 0.876 S
0.619 0.750 0.817 S
0.872 0.250 0.649 S
0.615 0.750 0.480 S
0.952 0.750 0.124 S
0.049 0.250 0.214 S
0.291 0.750 0.268 S
0.115 0.750 0.020 S
0.167 0.750 0.496 Pb
0.825 0.250 0.835 Pb
0.833 0.250 0.504 Pb
0.325 0.250 0.665 Pb
0.675 0.750 0.335 Pb
0.333 0.250 0.996 Pb
0.175 0.750 0.165 Pb
0.667 0.750 0.004 Pb

---

4.
CuBiPd, relaxed, DFT GGA-PBE; space-group type = F-43m (216)
1.0
0.770 -2.107 3.852
-3.096 -2.709 1.716
0.667 -4.408 0.035
Bi Pd Cu
1 1 1
Direct
0.250 0.250 0.250 Bi
0.000 0.000 0.000 Pd
0.750 0.750 0.750 Cu

---

no.,VASP energy (eV for the cell shown)
1,-281.84
2,-96.46
3,-296.97
4,-13.06